Record 1
DFT (GGA-PBE) results for crystalline Cu15Ni at its relaxed geometry.

Unit cell a=5.1144 b=5.1144 c=8.3757 alpha=90.00 beta=90.00 gamma=120.00
Space group P-6m2 (No. 187)
One atom of each set of equivalent atoms:
Cu: 0.0000 0.0000 0.0000 (multiplicity 1)
Cu: 0.0001 0.5000 0.5000 (multiplicity 3)
Cu: 0.3319 0.1659 0.2513 (multiplicity 6)
Cu: 0.3333 0.6667 0.2494 (multiplicity 2)
Cu: 0.5003 0.0007 0.0000 (multiplicity 3)
Ni: 0.0000 0.0000 0.5000 (multiplicity 1)

Properties
- energy relative to the elements (meV/atom) = 16.6
- E_tot (eV/atom) = -4.18
- D(E_F) (states/eV per atom) = 0.592
- M_tot (μB/f.u.) = 0.00

Record 2
DFT (GGA-PBE) results for crystalline LaSnTe at its relaxed geometry.

Unit cell a=4.396 b=4.396 c=19.688 alpha=90.00 beta=90.00 gamma=90.00
Space group I4/mmm (No. 139)
One atom of each set of equivalent atoms:
La: 0.000 0.000 0.142 (multiplicity 4)
Sn: 0.000 0.500 0.000 (multiplicity 4)
Te: 0.000 0.000 0.313 (multiplicity 4)

Properties
- E_tot (eV/atom) = -5.11
- D(E_F) (states/eV per atom) = 0.782
- M_tot (μB/f.u.) = 0.00

Record 3
DFT (GGA-PBE) results for crystalline NaLuSnAu at its relaxed geometry.

Unit cell a=7.167 b=7.167 c=7.167 alpha=90.00 beta=90.00 gamma=90.00
Space group F-43m (No. 216)
One atom of each set of equivalent atoms:
Na: 0.000 0.000 0.000 (multiplicity 4)
Lu: 0.000 0.000 0.500 (multiplicity 4)
Sn: 0.250 0.250 0.750 (multiplicity 4)
Au: 0.250 0.250 0.250 (multiplicity 4)

Properties
- energy relative to the elements (meV/atom) = -463.8
- E_tot (eV/atom) = -3.74
- D(E_F) (states/eV per atom) = 0.673
- M_tot (μB/f.u.) = 0.00